Density functional theory data (GGA+U) for Li2MnFeB2O6 after structural relaxation.

extended XYZ file:
```
24
Lattice="5.220 0.000 0.000 2.601 4.547 0.000 0.108 0.301 10.421" Properties=species:S:1:pos:R:3 pbc="T T T"
Li 0.000 0.000 0.000
Li 0.964 1.657 7.813
Li 5.932 1.623 2.620
Li 5.161 0.193 5.230
Mn 2.556 1.530 0.382
Mn 6.114 4.711 8.156
Fe 3.337 3.122 2.987
Fe 5.218 3.162 5.550
B 2.602 1.671 5.632
B 3.527 3.230 8.241
B 6.009 4.634 3.055
B 5.129 3.050 0.454
O 1.223 1.590 5.773
O 2.968 4.489 8.388
O 3.199 2.858 5.218
O 2.766 2.102 8.576
O 3.776 3.215 0.782
O 2.660 1.187 2.635
O 3.377 0.549 5.944
O 4.839 3.074 7.801
O 5.386 3.421 3.353
O 5.977 4.438 10.410
O 5.716 1.807 0.608
O 4.787 0.199 3.202
```

Summary:
Its density of states at the Fermi level is 0.000 states/eV/atom. The total energy comes out at -7.115 eV per atom.